Record 1
{"formula": "Ac5Nd4Hg4", "functional": "PBE-GGA", "state": "optimized geometry", "lattice": [[-6.5589, 6.5589, 2.6614], [6.5589, -6.5589, 2.6614], [6.5589, 6.5589, -2.6614]], "species": ["Ac", "Ac", "Ac", "Ac", "Ac", "Nd", "Nd", "Nd", "Nd", "Hg", "Hg", "Hg", "Hg"], "frac_coords": [[0.0000, 0.0000, 0.0000], [0.3073, 0.6265, 0.9338], [0.3735, 0.3073, 0.6808], [0.6265, 0.6927, 0.3192], [0.6927, 0.3735, 0.0662], [0.0961, 0.4035, 0.4996], [0.4035, 0.9039, 0.3073], [0.5965, 0.0961, 0.6927], [0.9039, 0.5965, 0.5004], [0.0804, 0.7561, 0.8365], [0.2439, 0.0804, 0.3244], [0.7561, 0.9196, 0.6756], [0.9196, 0.2439, 0.1635]], "formation_energy_mev_per_atom": -287, "dft_energy_ha_per_atom": -0.1260, "density_g_cm3": 9.12, "magmom_total_mub_per_atom": 0.000}

=====

Record 2
{"formula": "Pm4Sm2Er5", "functional": "PBE-GGA", "state": "optimized geometry", "lattice": [[12.0447, -1.7675, 0.0000], [12.0447, 1.7675, 0.0000], [-0.6416, 0.0000, 8.6202]], "species": ["Pm", "Pm", "Pm", "Pm", "Sm", "Sm", "Er", "Er", "Er", "Er", "Er"], "frac_coords": [[0.0407, 0.0407, 0.3405], [0.4112, 0.4112, 0.3040], [0.5888, 0.5888, 0.6960], [0.9593, 0.9593, 0.6595], [0.2752, 0.2752, 0.1730], [0.7248, 0.7248, 0.8270], [0.1305, 0.1305, 0.0485], [0.1867, 0.1867, 0.4726], [0.5000, 0.5000, 0.0000], [0.8133, 0.8133, 0.5274], [0.8695, 0.8695, 0.9515]], "formation_energy_mev_per_atom": 113, "relative_energy_mev_per_atom": 95, "dft_energy_ha_per_atom": -0.1671, "density_g_cm3": 7.77, "magmom_total_mub_per_atom": 0.000}

=====

Record 3
{"formula": "Cs8NaAu6", "functional": "PBE-GGA", "state": "optimized geometry", "lattice": [[5.3108, 3.0662, 7.4941], [-5.3108, 3.0662, 7.4941], [0.0000, -6.1323, 7.4941]], "species": ["Cs", "Cs", "Cs", "Cs", "Cs", "Cs", "Cs", "Cs", "Na", "Au", "Au", "Au", "Au", "Au", "Au"], "frac_coords": [[0.0846, 0.3918, 0.7121], [0.1689, 0.1689, 0.1689], [0.2879, 0.9154, 0.6082], [0.3918, 0.7121, 0.0846], [0.6082, 0.2879, 0.9154], [0.7121, 0.0846, 0.3918], [0.8311, 0.8311, 0.8311], [0.9154, 0.6082, 0.2879], [0.5000, 0.5000, 0.5000], [0.0934, 0.7806, 0.4392], [0.2194, 0.5608, 0.9066], [0.4392, 0.0934, 0.7806], [0.5608, 0.9066, 0.2194], [0.7806, 0.4392, 0.0934], [0.9066, 0.2194, 0.5608]], "formation_energy_mev_per_atom": -247, "dft_energy_ha_per_atom": -0.0772, "density_g_cm3": 5.14, "magmom_total_mub_per_atom": 0.000}